w.
Material: AlHgPO
Method: DFT, PBE-GGA
State: optimized geometry

Computed properties:
For the volume, the calculation gives 150.8 Å³/cell.

Lattice parameters (Å, degrees): 3.945 6.736 5.676 90.00 90.00 90.00
Space group Pmc2_1 (No. 26)
Asymmetric unit:
1 Al 0.000 0.119 0.000 (multiplicity 2)
2 Hg 0.500 0.336 0.453 (multiplicity 2)
3 P 0.500 0.292 0.891 (multiplicity 2)
4 O 0.000 0.092 0.311 (multiplicity 2)

x.
Material: AlHgPO
Method: DFT, PBE-GGA
State: optimized geometry

Computed properties:
For the volume, the calculation gives 145.5 Å³/cell.

Lattice parameters (Å, degrees): 4.006 4.006 9.069 90.00 90.00 90.00
Space group P4/nmm (No. 129, origin choice 2)
Asymmetric unit:
1 Al 0.250 0.250 0.061 (multiplicity 2)
2 Hg 0.250 0.750 0.500 (multiplicity 2)
3 P 0.250 0.250 0.314 (multiplicity 2)
4 O 0.250 0.750 0.000 (multiplicity 2)

Relative energies with respect to the most stable structure, expressed in meV per atom: w 0; x 242.

w.
Material: AlHgPO
Method: DFT, PBE-GGA
State: optimized geometry

Computed properties:
For the volume, the calculation gives 141.9 Å³/cell.

Lattice parameters (Å, degrees): 2.955 7.164 6.702 90.00 90.00 90.00
Space group Pmc2_1 (No. 26)
Asymmetric unit:
1 Al 0.000 0.182 0.000 (multiplicity 2)
2 Hg 0.500 0.363 0.555 (multiplicity 2)
3 P 0.000 0.114 0.344 (multiplicity 2)
4 O 0.500 0.299 0.937 (multiplicity 2)

x.
Material: AlHgPO
Method: DFT, PBE-GGA
State: optimized geometry

Computed properties:
For the volume, the calculation gives 158.9 Å³/cell.

Lattice parameters (Å, degrees): 4.245 4.245 8.821 90.00 90.00 90.00
Space group P4/nmm (No. 129, origin choice 2)
Asymmetric unit:
1 Al 0.250 0.750 0.000 (multiplicity 2)
2 Hg 0.250 0.250 0.415 (multiplicity 2)
3 P 0.250 0.250 0.861 (multiplicity 2)
4 O 0.250 0.750 0.500 (multiplicity 2)

Relative energies with respect to the most stable structure, expressed in meV per atom: w 0; x 742.

w.
Material: AlHgSeO
Method: DFT, PBE-GGA
State: optimized geometry

Computed properties:
For the volume, the calculation gives 176.9 Å³/cell.

Lattice parameters (Å, degrees): 3.762 8.368 5.619 90.00 90.00 90.00
Space group Pmc2_1 (No. 26)
Asymmetric unit:
1 Al 0.000 0.105 0.000 (multiplicity 2)
2 Hg 0.500 0.300 0.543 (multiplicity 2)
3 Se 0.500 0.296 0.046 (multiplicity 2)
4 O 0.000 0.042 0.710 (multiplicity 2)

x.
Material: AlHgSeO
Method: DFT, PBE-GGA
State: optimized geometry

Computed properties:
For the volume, the calculation gives 163.8 Å³/cell.

Lattice parameters (Å, degrees): 3.721 3.721 11.832 90.00 90.00 90.00
Space group P4/nmm (No. 129, origin choice 2)
Asymmetric unit:
1 Al 0.250 0.250 0.058 (multiplicity 2)
2 Hg 0.250 0.750 0.500 (multiplicity 2)
3 Se 0.250 0.250 0.254 (multiplicity 2)
4 O 0.250 0.750 0.000 (multiplicity 2)

y.
Material: AlHgSeO
Method: DFT, PBE-GGA
State: optimized geometry

Computed properties:
For the volume, the calculation gives 320.9 Å³/cell.

Lattice parameters (Å, degrees): 5.231 4.864 12.685 90.00 96.20 90.00
Space group P2_1 (No. 4)
Asymmetric unit:
1 Al 0.047 0.000 0.439 (multiplicity 2)
2 Al 0.426 0.497 0.418 (multiplicity 2)
3 Hg 0.019 0.959 0.837 (multiplicity 2)
4 Hg 0.333 0.737 0.011 (multiplicity 2)
5 Se 0.268 0.695 0.691 (multiplicity 2)
6 Se 0.353 0.784 0.246 (multiplicity 2)
7 O 0.117 0.641 0.452 (multiplicity 2)
8 O 0.352 0.167 0.481 (multiplicity 2)

Relative energies with respect to the most stable structure, expressed in meV per atom: w 31; x 224; y 0.